Computed, not measured: a geometry-optimized LiHo2Tl2 structure at the PBE level of DFT.

Lattice parameters (Å, degrees): 6.229 6.465 7.862 114.28 113.34 90.00
Sites, in units of the cell vectors:
Tl: 0.915 0.114 0.829
Tl: 0.415 0.716 0.829
Tl: 0.085 0.886 0.171
Tl: 0.585 0.284 0.171
Ho: 0.176 0.432 0.352
Ho: 0.324 0.080 0.648
Ho: 0.676 0.920 0.352
Ho: 0.824 0.568 0.648
Li: 0.750 0.500 0.000
Li: 0.250 0.500 0.000

Results
- ΔE_f: -0.611 eV/f.u.
- Total magnetic moment: 0.000 μB/atom